(1)
DFT (PBE-GGA) results for crystalline K2CeSO8 at its relaxed geometry.

## Properties
* D(E_F): 6.9 states/eV/cell
* E: -64.752 eV/cell
* crystal system: trigonal

Cell and atoms, written as CIF:
```
data_K2CeSO8
_space_group_name_H-M_alt 'P 1'
_space_group_IT_number 1
_space_group_name_Hall 'P 1'
_cell_length_a 6.012
_cell_length_b 6.012
_cell_length_c 5.878
_cell_angle_alpha 90.00
_cell_angle_beta 90.00
_cell_angle_gamma 120.00
loop_
_atom_site_label
_atom_site_fract_x
_atom_site_fract_y
_atom_site_fract_z
_atom_site_occupancy
K1 0.667 0.333 0.093 1
K2 0.333 0.667 0.907 1
Ce1 0.000 0.000 0.500 1
S1 0.000 0.000 0.000 1
O1 0.872 0.744 0.829 1
O2 0.256 0.128 0.829 1
O3 0.872 0.128 0.829 1
O4 0.128 0.256 0.171 1
O5 0.744 0.872 0.171 1
O6 0.128 0.872 0.171 1
O7 0.667 0.333 0.517 1
O8 0.333 0.667 0.483 1
```

(2)
DFT (PBE-GGA) results for crystalline K2Ce4Sb3O2 at its relaxed geometry.

## Properties
* D(E_F): 22.0 states/eV/cell
* E: -64.670 eV/cell
* crystal system: tetragonal

Cell and atoms, written as CIF:
```
data_K2Ce4Sb3O2
_space_group_name_H-M_alt 'P 1'
_space_group_IT_number 1
_space_group_name_Hall 'P 1'
_cell_length_a 4.858
_cell_length_b 4.858
_cell_length_c 14.064
_cell_angle_alpha 99.94
_cell_angle_beta 99.94
_cell_angle_gamma 90.00
loop_
_atom_site_label
_atom_site_fract_x
_atom_site_fract_y
_atom_site_fract_z
_atom_site_occupancy
K1 0.297 0.297 0.593 1
K2 0.703 0.703 0.407 1
Ce1 0.418 0.918 0.837 1
Ce2 0.918 0.418 0.837 1
Ce3 0.082 0.582 0.163 1
Ce4 0.582 0.082 0.163 1
Sb1 0.000 0.000 0.000 1
Sb2 0.160 0.160 0.321 1
Sb3 0.840 0.840 0.679 1
O1 0.415 0.415 0.830 1
O2 0.585 0.585 0.170 1
```

(3)
DFT (PBE-GGA) results for crystalline KCe2SbO8 at its relaxed geometry.

## Properties
* E: -83.483 eV/cell
* crystal system: orthorhombic

Cell and atoms, written as CIF:
```
data_KCe2SbO8
_space_group_name_H-M_alt 'P 1'
_space_group_IT_number 1
_space_group_name_Hall 'P 1'
_cell_length_a 4.882
_cell_length_b 4.884
_cell_length_c 8.099
_cell_angle_alpha 89.99
_cell_angle_beta 89.99
_cell_angle_gamma 90.43
loop_
_atom_site_label
_atom_site_fract_x
_atom_site_fract_y
_atom_site_fract_z
_atom_site_occupancy
K1 0.000 0.000 0.500 1
Ce1 0.500 0.500 0.783 1
Ce2 0.500 0.500 0.217 1
Sb1 0.000 0.000 0.000 1
O1 0.193 0.807 0.188 1
O2 0.706 0.706 0.000 1
O3 0.807 0.193 0.188 1
O4 0.807 0.193 0.812 1
O5 0.294 0.294 0.000 1
O6 0.193 0.807 0.812 1
O7 0.607 0.607 0.500 1
O8 0.393 0.393 0.500 1
```

(4)
DFT (PBE-GGA) results for crystalline K4CeSb3O12 at its relaxed geometry.

## Properties
* D(E_F): 11.9 states/eV/cell
* E: -117.486 eV/cell
* crystal system: cubic

Cell and atoms, written as CIF:
```
data_K4CeSb3O12
_space_group_name_H-M_alt 'P 1'
_space_group_IT_number 1
_space_group_name_Hall 'P 1'
_cell_length_a 7.182
_cell_length_b 7.182
_cell_length_c 7.182
_cell_angle_alpha 109.47
_cell_angle_beta 109.47
_cell_angle_gamma 109.47
loop_
_atom_site_label
_atom_site_fract_x
_atom_site_fract_y
_atom_site_fract_z
_atom_site_occupancy
K1 0.500 0.500 0.500 1
K2 0.000 0.000 0.500 1
K3 0.500 0.000 0.000 1
K4 0.000 0.500 0.000 1
Ce1 0.000 0.000 0.000 1
Sb1 0.500 0.000 0.500 1
Sb2 0.500 0.500 0.000 1
Sb3 0.000 0.500 0.500 1
O1 0.250 0.500 0.750 1
O2 0.734 0.000 0.734 1
O3 0.266 0.000 0.266 1
O4 0.750 0.500 0.250 1
O5 0.734 0.734 0.000 1
O6 0.266 0.266 0.000 1
O7 0.750 0.250 0.500 1
O8 0.250 0.750 0.500 1
O9 0.500 0.250 0.750 1
O10 0.000 0.734 0.734 1
O11 0.500 0.750 0.250 1
O12 0.000 0.266 0.266 1
```

(5)
DFT (PBE-GGA) results for crystalline KCeSbO6 at its relaxed geometry.

## Properties
* D(E_F): 2.9 states/eV/cell
* E: -55.978 eV/cell
* crystal system: trigonal

Cell and atoms, written as CIF:
```
data_KCeSbO6
_space_group_name_H-M_alt 'P 1'
_space_group_IT_number 1
_space_group_name_Hall 'P 1'
_cell_length_a 4.816
_cell_length_b 5.864
_cell_length_c 5.864
_cell_angle_alpha 120.00
_cell_angle_beta 90.00
_cell_angle_gamma 90.00
loop_
_atom_site_label
_atom_site_fract_x
_atom_site_fract_y
_atom_site_fract_z
_atom_site_occupancy
K1 0.500 0.667 0.333 1
Ce1 0.000 0.333 0.667 1
Sb1 0.500 0.000 0.000 1
O1 0.736 0.689 0.757 1
O2 0.736 0.243 0.932 1
O3 0.736 0.068 0.311 1
O4 0.264 0.243 0.311 1
O5 0.264 0.689 0.932 1
O6 0.264 0.068 0.757 1
```

(6)
DFT (PBE-GGA) results for crystalline K2CeSbO6 at its relaxed geometry.

## Properties
* D(E_F): 11.2 states/eV/cell
* E: -124.696 eV/cell
* crystal system: cubic

Cell and atoms, written as CIF:
```
data_K2CeSbO6
_space_group_name_H-M_alt 'P 1'
_space_group_IT_number 1
_space_group_name_Hall 'P 1'
_cell_length_a 6.018
_cell_length_b 6.018
_cell_length_c 8.510
_cell_angle_alpha 90.00
_cell_angle_beta 90.00
_cell_angle_gamma 90.00
loop_
_atom_site_label
_atom_site_fract_x
_atom_site_fract_y
_atom_site_fract_z
_atom_site_occupancy
K1 0.500 0.750 0.250 1
K2 0.000 0.250 0.750 1
K3 0.500 0.750 0.750 1
K4 0.000 0.250 0.250 1
Ce1 0.000 0.750 0.500 1
Ce2 0.500 0.250 0.000 1
Sb1 0.500 0.250 0.500 1
Sb2 0.000 0.750 0.000 1
O1 0.500 0.250 0.263 1
O2 0.500 0.250 0.737 1
O3 0.000 0.750 0.237 1
O4 0.000 0.750 0.763 1
O5 0.264 0.013 0.500 1
O6 0.736 0.013 0.500 1
O7 0.263 0.486 0.500 1
O8 0.737 0.486 0.500 1
O9 0.763 0.514 0.000 1
O10 0.237 0.514 0.000 1
O11 0.236 0.987 0.000 1
O12 0.764 0.987 0.000 1
```

(7)
DFT (PBE-GGA) results for crystalline KCeSb2O8 at its relaxed geometry.

## Properties
* D(E_F): 8.8 states/eV/cell
* E: -74.972 eV/cell
* crystal system: tetragonal

Cell and atoms, written as CIF:
```
data_KCeSb2O8
_space_group_name_H-M_alt 'P 1'
_space_group_IT_number 1
_space_group_name_Hall 'P 1'
_cell_length_a 5.494
_cell_length_b 5.494
_cell_length_c 6.896
_cell_angle_alpha 113.47
_cell_angle_beta 113.47
_cell_angle_gamma 90.00
loop_
_atom_site_label
_atom_site_fract_x
_atom_site_fract_y
_atom_site_fract_z
_atom_site_occupancy
K1 0.750 0.250 0.500 1
Ce1 0.000 0.000 0.000 1
Sb1 0.500 0.500 0.000 1
Sb2 0.250 0.750 0.500 1
O1 0.784 0.811 0.164 1
O2 0.379 0.353 0.164 1
O3 0.591 0.691 0.692 1
O4 0.101 0.001 0.692 1
O5 0.999 0.409 0.308 1
O6 0.309 0.899 0.308 1
O7 0.189 0.621 0.836 1
O8 0.647 0.216 0.836 1
```

(8)
DFT (PBE-GGA) results for crystalline KSrCeSbO6 at its relaxed geometry.

## Properties
* D(E_F): 0.0 states/eV/cell
* E: -66.828 eV/cell
* crystal system: cubic

Cell and atoms, written as CIF:
```
data_KSrCeSbO6
_space_group_name_H-M_alt 'P 1'
_space_group_IT_number 1
_space_group_name_Hall 'P 1'
_cell_length_a 5.985
_cell_length_b 5.985
_cell_length_c 5.985
_cell_angle_alpha 60.00
_cell_angle_beta 60.00
_cell_angle_gamma 60.00
loop_
_atom_site_label
_atom_site_fract_x
_atom_site_fract_y
_atom_site_fract_z
_atom_site_occupancy
K1 0.750 0.750 0.750 1
Sr1 0.250 0.250 0.250 1
Ce1 0.000 0.000 0.000 1
Sb1 0.500 0.500 0.500 1
O1 0.263 0.737 0.263 1
O2 0.737 0.263 0.737 1
O3 0.263 0.737 0.737 1
O4 0.737 0.263 0.263 1
O5 0.263 0.263 0.737 1
O6 0.737 0.737 0.263 1
```